BaNi2Rh after structural relaxation. Source: the Alexandria database, functional GGA-PBEsol.

```
BaNi2Rh
1.0
3.163 0.000 0.000
0.000 3.156 0.000
0.000 0.000 6.967
Rh Ni Ba
1 2 1
direct
0.500 0.500 0.000
0.000 0.000 0.832
0.000 0.000 0.168
0.500 0.500 0.500
```

Output
As for the energy of formation: 0.362 eV/atom. As for the space group: P4/mmm (123).

---

BaNi2Rh after structural relaxation. Source: the Alexandria database, functional GGA-PBEsol.

```
BaNi2Rh
1.0
4.172 0.000 0.000
-2.086 3.610 -0.052
0.000 -2.330 5.377
Ni Rh Ba
2 1 1
direct
0.183 0.367 0.050
0.817 0.633 0.950
0.500 0.000 0.000
0.000 0.000 0.500
```

Output
As for the energy of formation: -0.013 eV/atom. As for the space group: R-3m (166).

---

Ba2NiRh after structural relaxation. Source: the Alexandria database, functional GGA-PBEsol.

```
Ba2NiRh
1.0
-1.962 -0.018 -3.976
-3.800 -2.063 1.884
-0.237 5.908 0.090
Rh Ba Ni
1 2 1
direct
0.500 0.713 0.426
0.500 0.393 0.785
0.000 0.102 0.204
0.000 0.787 0.574
```

Output
As for the energy of formation: -0.021 eV/atom. As for the space group: Amm2 (38).

---

Ba4NiRu after structural relaxation. Source: the Alexandria database, functional GGA-PBEsol.

```
Ba4NiRu
1.0
-2.112 0.726 -6.160
-4.982 -3.640 -2.206
-5.822 2.774 -1.162
Ni Ba Ru
1 4 1
direct
0.750 0.750 0.750
0.375 0.375 0.375
0.375 0.876 0.375
0.876 0.375 0.375
0.375 0.375 0.876
0.000 0.000 0.000
```

Output
As for the energy of formation: 1.387 eV/atom. As for the space group: F-43m (216).

---

Ba3NiS after structural relaxation. Source: the Alexandria database, functional GGA-PBEsol.

```
Ba3NiS
1.0
-2.064 4.333 3.470
-2.431 -4.034 3.591
4.990 -0.173 3.185
Ba S Ni
3 1 1
direct
0.000 0.000 0.500
0.000 0.500 0.000
0.500 0.000 0.000
0.000 0.000 0.000
0.500 0.500 0.500
```

Output
For the formation energy (no corrections), the calculation gives -0.27 eV/atom. As for the space group: Pm-3m (221).

---

BaScNiS2 after structural relaxation. Source: the Alexandria database, functional GGA-PBEsol.

```
BaScNiS2
1.0
-3.733 -0.635 -2.880
2.703 -4.073 -2.604
-2.118 -3.680 3.557
S Ni Ba Sc
2 1 1 1
direct
0.000 0.500 0.000
0.000 0.000 0.500
0.500 0.000 0.000
0.000 0.000 0.000
0.500 0.500 0.500
```

Output
For the formation energy (no corrections), the calculation gives 0.61 eV/atom. As for the space group: P4/mmm (123).

---

BaNi2SnS after structural relaxation. Source: the Alexandria database, functional GGA-PBEsol.

```
BaNi2SnS
1.0
4.822 0.000 0.000
0.000 4.822 0.000
0.000 0.000 5.714
S Sn Ni Ba
1 1 2 1
direct
0.000 0.000 0.500
0.500 0.500 0.500
0.000 0.500 0.000
0.500 0.000 0.000
0.000 0.000 0.000
```

Output
For the formation energy (no corrections), the calculation gives 1.17 eV/atom. As for the space group: P4/mmm (123).

---

Ba2NiSb after structural relaxation. Source: the Alexandria database, functional GGA-PBEsol.

```
Ba2NiSb
1.0
4.596 0.000 0.000
0.000 4.971 0.000
0.000 -2.485 5.756
Sb Ni Ba
1 1 2
direct
0.500 0.578 0.156
0.000 0.669 0.339
0.000 0.983 0.966
0.500 0.273 0.547
```

Output
For the formation energy (no corrections), the calculation gives -0.46 eV/atom. As for the space group: Amm2 (38).

---

Ba2NiSb after structural relaxation. Source: the Alexandria database, functional GGA-PBEsol.

```
Ba2NiSb
1.0
-2.928 3.701 0.711
-2.439 -1.173 -3.939
-4.073 -3.932 3.693
Ni Ba Sb
1 2 1
direct
0.000 0.000 0.624
0.500 0.500 0.626
0.000 0.000 0.125
0.500 0.500 0.126
```

Output
For the formation energy (no corrections), the calculation gives -0.06 eV/atom. As for the space group: P4mm (99).

---

BaNiSbTe2 after structural relaxation. Source: the Alexandria database, functional GGA-PBEsol.

```
BaNiSbTe2
1.0
-2.171 -2.591 -3.358
-0.459 -4.120 3.477
-4.795 1.908 1.628
Te Sb Ni Ba
2 1 1 1
direct
0.000 0.500 0.000
0.000 0.000 0.500
0.500 0.000 0.000
0.000 0.000 0.000
0.500 0.500 0.500
```

Output
For the formation energy (no corrections), the calculation gives -0.55 eV/atom. As for the space group: P4/mmm (123).

---

BaYNi2Sb after structural relaxation. Source: the Alexandria database, functional GGA-PBEsol.

```
BaYNi2Sb
1.0
4.771 0.000 0.000
0.000 4.771 0.000
0.000 0.000 6.071
Y Ni Sb Ba
1 2 1 1
direct
0.000 0.000 0.000
0.500 0.000 0.000
0.000 0.500 0.000
0.500 0.500 0.500
0.000 0.000 0.500
```

Output
For the formation energy (no corrections), the calculation gives 0.87 eV/atom. As for the space group: P4/mmm (123).

---

BaScNi2 after structural relaxation. Source: the Alexandria database, functional GGA-PBEsol.

```
BaScNi2
1.0
3.739 0.000 -0.057
0.000 3.852 0.000
-1.772 0.000 6.228
Ni Ba Sc
2 1 1
direct
0.952 0.500 0.280
0.846 0.000 0.067
0.218 0.500 0.810
0.484 0.000 0.343
```

Output
As for the energy of formation: -0.039 eV/atom. As for the space group: Amm2 (38).

---

| no. | density (kg/m³) | Fermi-level density of states (states/eV per cell) |
| --- | --- | --- |
| 1 | 8539 | 4.859 |
| 2 | 7379 | 5.744 |
| 3 | 6388 | 3.435 |
| 4 | 5918 | 10.816 |
| 5 | 4019 | 4.783 |
| 6 | 3471 | 5.467 |
| 7 | 5067 | 1.472 |
| 8 | 5747 | 3.635 |
| 9 | 4902 | 9.947 |
| 10 | 6820 | 2.888 |
| 11 | 5591 | 3.322 |
| 12 | 5573 | 2.664 |